The following is a PBE calculation of Pa2AgO8 after structural relaxation, from the Alexandria database.

abc: 3.6217 5.7436 9.0315
angles: 105.57 101.58 90.05
Closest atoms and distances in Å follow each position.
Positions (direct):
Pa (0.8849, 0.8440, 0.3088)  6 O 2.10-2.34
Pa (0.4855, 0.4290, 0.5094)  6 O 2.10-2.34
Ag (0.1858, 0.6363, 0.9091)  4 O 2.24
O (0.1536, 0.0535, 0.8475)  1 O 1.24
O (0.9894, 0.2005, 0.5173)  3 Pa 2.25-2.35
O (0.3811, 0.6087, 0.3015)  3 Pa 2.25-2.34
O (0.7616, 0.7340, 0.0623)  1 Pa 2.10, 2 Ag 2.24
O (0.3810, 0.0724, 0.3008)  3 Pa 2.25-2.35
O (0.9891, 0.6642, 0.5166)  3 Pa 2.25-2.34
O (0.1792, 0.2189, 0.9708)  1 O 1.24
O (0.6088, 0.5386, 0.7559)  1 Pa 2.10, 2 Ag 2.24

Output
symmetry = P1, No. 1
raw formation energy = -2208 meV/atom